## Ca2Mg2Zn (PBEsol)

Data for a relaxed Ca2Mg2Zn crystal.

Geometry as CIF:
```
data_Ca2Mg2Zn
_chemical_formula_sum 'Ca2 Mg2 Zn1'
_space_group_name_H-M_alt 'P -3 m 1'
_space_group_IT_number 164
_space_group_name_Hall '-P 3 2"'
_cell_length_a 4.8741
_cell_length_b 4.8741
_cell_length_c 7.4242
_cell_angle_alpha 90.00
_cell_angle_beta 90.00
_cell_angle_gamma 120.00
loop_
_atom_site_label
_atom_site_type_symbol
_atom_site_fract_x
_atom_site_fract_y
_atom_site_fract_z
Ca1 Ca 0.3333 0.6667 0.1513
Mg1 Mg 0.3333 0.6667 0.6122
Zn1 Zn 0.0000 0.0000 0.0000
```

Results
For the calculated density, the calculation gives 2.11 g/cm³. The energy above the most stable polymorph in this dataset is 273 meV/atom. Its total magnetic moment is 0.000 μB/atom. The value obtained for the density of states at the Fermi level is 3.4 states/eV per cell. The calculation puts the formation energy at 0.1580 eV per atom.